Computed, not measured: a relaxed structure of CoPF5 at the PBE+U level of DFT.

Unit cell a=5.4836 b=5.8963 c=7.3126 alpha=71.13 beta=73.94 gamma=84.26
Atoms (fractional coordinates):
Co: 0.0000 0.0000 0.0000
Co: 0.0000 0.5000 0.5000
P: 0.3552 0.1571 0.2737
P: 0.6448 0.8429 0.7263
F: 0.0133 0.2386 0.3793
F: 0.0356 0.2496 0.7438
F: 0.2702 0.2262 0.0632
F: 0.3232 0.8351 0.8776
F: 0.4100 0.4211 0.2809
F: 0.5900 0.5789 0.7191
F: 0.6768 0.1649 0.1224
F: 0.7298 0.7738 0.9368
F: 0.9644 0.7504 0.2562
F: 0.9867 0.7614 0.6207

Results
Uncorrected energy ... -4.91 eV per atom
Space group ... No. 2
M_tot ... 3.0 μB per formula unit